[1]
Here is an optimized crystal structure of Rb3ReCl8 from Alexandria. Energies are from PBE.

Unit cell a=9.1394 b=9.8860 c=9.8860 alpha=120.00 beta=90.00 gamma=90.00
Sites, in units of the cell vectors:
Cl (0.8002, 0.7783, 0.5567)
Cl (0.4572, 0.0000, 0.0000)
Cl (0.3002, 0.5567, 0.7783)
Cl (0.1541, 0.6667, 0.3333)
Cl (0.0038, 0.4446, 0.5554)
Cl (0.9572, 0.0000, 0.0000)
Cl (0.0038, 0.4446, 0.8891)
Cl (0.8002, 0.4433, 0.2217)
Cl (0.5038, 0.5554, 0.4446)
Cl (0.3002, 0.2217, 0.7783)
Cl (0.5038, 0.5554, 0.1109)
Cl (0.6541, 0.3333, 0.6667)
Cl (0.8002, 0.7783, 0.2217)
Cl (0.3002, 0.2217, 0.4433)
Cl (0.5038, 0.8891, 0.4446)
Cl (0.0038, 0.1109, 0.5554)
Re (0.6501, 0.6667, 0.3333)
Re (0.1501, 0.3333, 0.6667)
Rb (0.6999, 0.1526, 0.3051)
Rb (0.1999, 0.8474, 0.6949)
Rb (0.1999, 0.3051, 0.1526)
Rb (0.1999, 0.8474, 0.1526)
Rb (0.6999, 0.1526, 0.8474)
Rb (0.6999, 0.6949, 0.8474)

Calculated values
Total energy: -90.59 eV/cell



[2]
Here is an optimized crystal structure of Ba2Sr6Au from Alexandria. Energies are from PBE.

Unit cell a=8.7630 b=8.7628 c=12.3753 alpha=90.00 beta=89.99 gamma=90.00
Sites, in units of the cell vectors:
Sr (0.5002, 0.5000, 0.7495)
Sr (0.9998, 0.0000, 0.7505)
Sr (0.7503, 0.2493, 0.0000)
Sr (0.2503, 0.2507, 0.5000)
Sr (0.2506, 0.7497, 0.4999)
Sr (0.7506, 0.7503, 0.9999)
Sr (0.0002, 0.0000, 0.2495)
Sr (0.2494, 0.2497, 0.0001)
Sr (0.7494, 0.2503, 0.5001)
Sr (0.7497, 0.7493, 0.5000)
Sr (0.2497, 0.7507, 0.0000)
Sr (0.4998, 0.5000, 0.2505)
Ba (0.5001, 0.0000, 0.7500)
Ba (0.0001, 0.5000, 0.2500)
Ba (0.4999, 0.0000, 0.2500)
Ba (0.9999, 0.5000, 0.7500)
Au (0.0000, 0.0000, 0.5000)
Au (0.5000, 0.5000, 0.0000)

Calculated values
Formation energy: -1.78 eV per formula unit



[3]
Here is an optimized crystal structure of KReRu from Alexandria. Energies are from PBE.

Unit cell a=2.8278 b=2.8278 c=8.0458 alpha=90.00 beta=90.00 gamma=120.00
Sites, in units of the cell vectors:
Re (0.6667, 0.3333, 0.3773)
K (0.0000, 0.0000, 0.9958)
Ru (0.3333, 0.6667, 0.6269)

Calculated values
Energy above the lowest structure with this stoichiometry: 0 kJ/mol of formula units
Formation energy: 2.58 eV per formula unit



[4]
Here is an optimized crystal structure of Zn4CdW2 from Alexandria. Energies are from PBE.

Unit cell a=4.9027 b=4.9027 c=7.3954 alpha=70.64 beta=70.64 gamma=90.00
Sites, in units of the cell vectors:
Zn (0.0000, 0.5000, 0.0000)
Zn (0.2055, 0.2055, 0.5891)
Zn (0.7945, 0.7945, 0.4109)
Zn (0.5000, 0.0000, 0.0000)
W (0.5887, 0.5887, 0.8226)
W (0.4113, 0.4113, 0.1774)
Cd (0.0000, 0.0000, 0.0000)

Calculated values
Formation energy: 8.16 eV per formula unit



no.,volume (Å³/cell)
1,773.6
2,950.3
3,55.7
4,157.0